Density functional theory data (PBE) for a geometry-optimized BaBi2Rh2 structure.

Calculated values
- E_form: -0.185 eV/atom
- Calculated density: 10.22 g cm⁻³
- DOS at the Fermi energy: 2.7 states/eV/f.u.
- SG: P4/mbm (127)

a = 8.3385 Å, b = 8.3385 Å, c = 3.5575 Å
α = 90.00°, β = 90.00°, γ = 90.00°
Last column: nearest neighbours and their distance in Å.
Element x y z (fractional)
1 Ba 0.0000 0.0000 0.0000  4 Rh 3.30, 2 Ba 3.56, 8 Bi 3.65
2 Ba 0.5000 0.5000 0.0000  4 Rh 3.30, 2 Ba 3.56, 8 Bi 3.65
3 Bi 0.1472 0.3528 0.5000  4 Rh 2.88
4 Bi 0.3528 0.8528 0.5000  4 Rh 2.88
5 Bi 0.6472 0.1472 0.5000  4 Rh 2.88
6 Bi 0.8528 0.6472 0.5000  4 Rh 2.88
7 Rh 0.1235 0.6235 0.0000  4 Bi 2.88, 1 Rh 2.91
8 Rh 0.3765 0.1235 0.0000  4 Bi 2.88, 1 Rh 2.91
9 Rh 0.6235 0.8765 0.0000  4 Bi 2.88, 1 Rh 2.91
10 Rh 0.8765 0.3765 0.0000  4 Bi 2.88, 1 Rh 2.91



Density functional theory data (PBE) for a geometry-optimized Ba2Bi5Rh structure.

Calculated values
- E_form: -0.419 eV/atom
- Calculated density: 8.05 g cm⁻³
- DOS at the Fermi energy: 3.9 states/eV/f.u.
- SG: I4mm (107)

a = 7.3175 Å, b = 7.3175 Å, c = 10.9621 Å
α = 90.00°, β = 90.00°, γ = 90.00°
Last column: nearest neighbours and their distance in Å.
Element x y z (fractional)
1 Ba 0.0000 0.5000 0.0000  10 Bi 3.70-3.82
2 Ba 0.0000 0.5000 0.5000  10 Bi 3.70-3.82
3 Ba 0.5000 0.0000 0.0000  10 Bi 3.70-3.82
4 Ba 0.5000 0.0000 0.5000  10 Bi 3.70-3.82
5 Bi 0.0000 0.0000 0.4510  1 Rh 2.62
6 Bi 0.2406 0.2406 0.2434  1 Rh 2.75
7 Bi 0.2406 0.7594 0.2434  1 Rh 2.75
8 Bi 0.2594 0.2594 0.7434  1 Rh 2.75
9 Bi 0.2594 0.7406 0.7434  1 Rh 2.75
10 Bi 0.5000 0.5000 0.9510  1 Rh 2.62
11 Bi 0.7406 0.2594 0.7434  1 Rh 2.75
12 Bi 0.7406 0.7406 0.7434  1 Rh 2.75
13 Bi 0.7594 0.2406 0.2434  1 Rh 2.75
14 Bi 0.7594 0.7594 0.2434  1 Rh 2.75
15 Rh 0.0000 0.0000 0.6901  5 Bi 2.62-2.75
16 Rh 0.5000 0.5000 0.1901  5 Bi 2.62-2.75



Density functional theory data (PBE) for a geometry-optimized Ba6Bi2Rh structure.

Calculated values
- E_form: -0.542 eV/atom
- Energy above the lowest structure with this stoichiometry: 0.19 eV/f.u.
- Calculated density: 5.24 g cm⁻³
- DOS at the Fermi energy: 6.2 states/eV/f.u.
- SG: Cmce (64)

a = 9.2749 Å, b = 9.2749 Å, c = 10.1878 Å
α = 90.00°, β = 90.00°, γ = 103.49°
Last column: nearest neighbours and their distance in Å.
Element x y z (fractional)
1 Ba 0.0290 0.3184 0.5726  1 Rh 2.99
2 Ba 0.0741 0.9259 0.7925  1 Rh 3.17
3 Ba 0.1816 0.4710 0.9274  1 Rh 2.99
4 Ba 0.3184 0.0290 0.4274  1 Rh 2.99
5 Ba 0.4259 0.5741 0.2925  1 Rh 3.17
6 Ba 0.4710 0.1816 0.0726  1 Rh 2.99
7 Ba 0.5290 0.8184 0.9274  1 Rh 2.99
8 Ba 0.5741 0.4259 0.7075  1 Rh 3.17
9 Ba 0.6816 0.9710 0.5726  1 Rh 2.99
10 Ba 0.8184 0.5290 0.0726  1 Rh 2.99
11 Ba 0.9259 0.0741 0.2075  1 Rh 3.17
12 Ba 0.9710 0.6816 0.4274  1 Rh 2.99
13 Bi 0.1838 0.8162 0.1233  9 Ba 3.73-3.93
14 Bi 0.3162 0.6838 0.6233  9 Ba 3.73-3.93
15 Bi 0.6838 0.3162 0.3767  9 Ba 3.73-3.93
16 Bi 0.8162 0.1838 0.8767  9 Ba 3.73-3.93
17 Rh 0.0000 0.0000 0.5000  6 Ba 2.99-3.17
18 Rh 0.5000 0.5000 0.0000  6 Ba 2.99-3.17



Density functional theory data (PBE) for a geometry-optimized BaBi2Rh2 structure.

Calculated values
- E_form: -0.403 eV/atom
- Calculated density: 9.26 g cm⁻³
- DOS at the Fermi energy: 3.8 states/eV/f.u.
- SG: C2/c (15)

a = 6.7556 Å, b = 6.7556 Å, c = 7.8228 Å
α = 101.30°, β = 101.30°, γ = 123.04°
Last column: nearest neighbours and their distance in Å.
Element x y z (fractional)
1 Ba 0.1254 0.8746 0.7500  4 Rh 3.52-3.54, 6 Bi 3.67-3.94
2 Ba 0.8746 0.1254 0.2500  4 Rh 3.52-3.54, 6 Bi 3.67-3.94
3 Bi 0.1836 0.8164 0.2500  4 Rh 2.69-2.75
4 Bi 0.4342 0.5658 0.7500  4 Rh 2.69-2.76
5 Bi 0.5658 0.4342 0.2500  4 Rh 2.69-2.76
6 Bi 0.8164 0.1836 0.7500  4 Rh 2.69-2.75
7 Rh 0.2723 0.5231 0.0479  4 Bi 2.69-2.76, 1 Rh 2.88
8 Rh 0.4769 0.7277 0.4521  4 Bi 2.69-2.76, 1 Rh 2.88
9 Rh 0.5231 0.2723 0.5479  4 Bi 2.69-2.76, 1 Rh 2.88
10 Rh 0.7277 0.4769 0.9521  4 Bi 2.69-2.76, 1 Rh 2.88



Density functional theory data (PBE) for a geometry-optimized Ba6Bi2Rh structure.

Calculated values
- E_form: -0.564 eV/atom
- Energy above the lowest structure with this stoichiometry: 0.00 eV/f.u.
- Calculated density: 5.25 g cm⁻³
- DOS at the Fermi energy: 6.0 states/eV/f.u.
- SG: P2_1/c (14)

a = 8.0868 Å, b = 9.1058 Å, c = 14.0482 Å
α = 90.00°, β = 124.73°, γ = 90.00°
Last column: nearest neighbours and their distance in Å.
Element x y z (fractional)
1 Ba 0.1360 0.1739 0.4473  1 Rh 3.04
2 Ba 0.1360 0.3261 0.9473  1 Rh 3.04
3 Ba 0.2729 0.7006 0.4460  1 Rh 3.13
4 Ba 0.2729 0.7994 0.9460  1 Rh 3.13
5 Ba 0.3569 0.0314 0.2480  1 Rh 3.05
6 Ba 0.3569 0.4686 0.7480  1 Rh 3.05
7 Ba 0.6431 0.5314 0.2520  1 Rh 3.05
8 Ba 0.6431 0.9686 0.7520  1 Rh 3.05
9 Ba 0.7271 0.2006 0.0540  1 Rh 3.13
10 Ba 0.7271 0.2994 0.5540  1 Rh 3.13
11 Ba 0.8640 0.6739 0.0527  1 Rh 3.04
12 Ba 0.8640 0.8261 0.5527  1 Rh 3.04
13 Bi 0.2202 0.0942 0.7541  8 Ba 3.60-4.03
14 Bi 0.2202 0.4058 0.2541  8 Ba 3.60-4.03
15 Bi 0.7798 0.5942 0.7459  8 Ba 3.60-4.03
16 Bi 0.7798 0.9058 0.2459  8 Ba 3.60-4.03
17 Rh 0.5000 0.0000 0.5000  6 Ba 3.04-3.13
18 Rh 0.5000 0.5000 0.0000  6 Ba 3.04-3.13



Density functional theory data (PBE) for a geometry-optimized BaBi3Rh structure.

Calculated values
- E_form: -0.438 eV/atom
- Energy above the lowest structure with this stoichiometry: 0.00 eV/f.u.
- Calculated density: 9.28 g cm⁻³
- DOS at the Fermi energy: 4.1 states/eV/f.u.
- SG: Cm (8)

a = 7.3450 Å, b = 7.3509 Å, c = 6.7946 Å
α = 90.00°, β = 122.20°, γ = 90.00°
Last column: nearest neighbours and their distance in Å.
Element x y z (fractional)
1 Ba 0.0000 0.0000 0.0000  12 Bi 3.73-3.94, 4 Rh 3.78-4.17
2 Ba 0.5000 0.5000 0.0000  12 Bi 3.73-3.94, 4 Rh 3.78-4.17
3 Bi 0.0068 0.2508 0.5107  2 Rh 2.77-2.78
4 Bi 0.0068 0.7492 0.5107  2 Rh 2.77-2.78
5 Bi 0.4360 0.0000 0.8736  1 Rh 2.70
6 Bi 0.5068 0.2492 0.5107  2 Rh 2.77-2.78
7 Bi 0.5068 0.7508 0.5107  2 Rh 2.77-2.78
8 Bi 0.9360 0.5000 0.8736  1 Rh 2.70
9 Rh 0.1756 0.5000 0.3429  5 Bi 2.70-2.78
10 Rh 0.6756 0.0000 0.3429  5 Bi 2.70-2.78